Tl2CdSb2 PBE optimized geometry; ΔE_f (raw) = 0.085 eV/atom; magnetization = 0.00 μB per atom; energy above the most stable polymorph in this dataset = 63 meV per atom; DOS at the Fermi energy = 0.2659 states/eV per atom
1.0
-2.171 2.171 8.764
2.171 -2.171 8.764
2.171 2.171 -8.764
Tl Cd Sb
2 1 2
Cartesian
0.000 0.000 1.761
0.000 0.000 15.766
0.000 0.000 8.764
2.171 0.000 4.382
0.000 2.171 4.382

BeFe3Pb PBE optimized geometry; magnetization = 1.34 μB per atom; energy above the most stable polymorph in this dataset = 0 meV per atom; formation energy from the elements = 11.90 kcal/mol of atoms; DOS at the Fermi energy = 1.1272 states/eV per atom
1.0
4.117 0.000 0.000
0.000 4.117 0.000
0.000 0.000 4.117
Be Fe Pb
1 3 1
Cartesian
0.000 0.000 0.000
0.000 0.000 2.058
0.000 2.058 0.000
2.058 0.000 0.000
2.058 2.058 2.058